# 1
A geometry-optimized K3Ce3DyS8 structure, computed with PBE-GGA.

Results
D(E_F) in states/eV/atom: 0.8855
E in eV/atom: -5.75

```
data_K3Ce3DyS8
_chemical_formula_sum 'K9 Ce9 Dy3 S24'
_symmetry_space_group_name_H-M 'R -3 m'
_symmetry_Int_Tables_number 166
_symmetry_space_group_name_Hall '-R 3 2"'
_cell_length_a 8.2768
_cell_length_b 8.2768
_cell_length_c 22.3026
_cell_angle_alpha 90.00
_cell_angle_beta 90.00
_cell_angle_gamma 120.00
loop_
_atom_site_label
_atom_site_fract_x
_atom_site_fract_y
_atom_site_fract_z
_atom_site_occupancy
K1 0.0000 0.5000 0.0000 1
Ce1 0.0000 0.5000 0.5000 1
Dy1 0.0000 0.0000 0.5000 1
S1 0.0000 0.0000 0.2348 1
S2 0.0052 0.5026 0.2319 1
```

***

# 2
A geometry-optimized La2TlCr structure, computed with PBE-GGA.

Results
D(E_F) in states/eV/atom: 0.8724
Relative energy among the computed polymorphs in meV per atom: 175

```
data_La2TlCr
_chemical_formula_sum 'La4 Tl2 Cr2'
_symmetry_space_group_name_H-M 'C 1 2/m 1'
_symmetry_Int_Tables_number 12
_cell_length_a 6.691
_cell_length_b 3.792
_cell_length_c 9.832
_cell_angle_alpha 90.00
_cell_angle_beta 102.41
_cell_angle_gamma 90.00
loop_
_symmetry_equiv_pos_as_xyz
'x,y,z'
'-x,-y,-z'
'-x,y,-z'
'x,-y,z'
'x+1/2,y+1/2,z'
'-x+1/2,-y+1/2,-z'
'-x+1/2,y+1/2,-z'
'x+1/2,-y+1/2,z'
loop_
_atom_site_label
_atom_site_fract_x
_atom_site_fract_y
_atom_site_fract_z
_atom_site_occupancy
La1 0.241 0.000 0.221 1
Tl1 0.000 0.000 0.500 1
Cr1 0.000 0.500 0.000 1
```

***

# 3
A geometry-optimized CeFe4Co structure, computed with PBE-GGA.

Results
D(E_F) in states/eV/atom: 1.3138
E in eV/atom: -7.73

```
data_CeFe4Co
_chemical_formula_sum 'Ce4 Fe16 Co4'
_symmetry_space_group_name_H-M 'F -4 3 m'
_symmetry_Int_Tables_number 216
_symmetry_space_group_name_Hall 'F -4 2 3'
_cell_length_a 6.990
_cell_length_b 6.990
_cell_length_c 6.990
_cell_angle_alpha 90.00
_cell_angle_beta 90.00
_cell_angle_gamma 90.00
loop_
_atom_site_label
_atom_site_fract_x
_atom_site_fract_y
_atom_site_fract_z
_atom_site_occupancy
Ce1 0.000 0.000 0.000 1
Fe1 0.124 0.124 0.376 1
Co1 0.250 0.250 0.750 1
```

***

# 4
A geometry-optimized KPbCl2 structure, computed with PBE-GGA.

Results
D(E_F) in states/eV/atom: 0.5793
Relative energy among the computed polymorphs in meV per atom: 305

```
data_KPbCl2
_chemical_formula_sum 'K3 Pb3 Cl6'
_symmetry_space_group_name_H-M 'R -3 m'
_symmetry_Int_Tables_number 166
_symmetry_space_group_name_Hall '-R 3 2"'
_cell_length_a 4.7888
_cell_length_b 4.7888
_cell_length_c 25.4858
_cell_angle_alpha 90.00
_cell_angle_beta 90.00
_cell_angle_gamma 120.00
loop_
_atom_site_label
_atom_site_fract_x
_atom_site_fract_y
_atom_site_fract_z
_atom_site_occupancy
K1 0.0000 0.0000 0.0000 1
Pb1 0.0000 0.0000 0.5000 1
Cl1 0.0000 0.0000 0.1166 1
```